Entry from the Alexandria database: a relaxed MnIr2Au crystal (PBE).

Results
DOS(E_F), states/eV per atom: 1.249
Total magnetization, μB per atom: 0.78
ρ, Mg/m³: 17.371
Energy, Ry/atom: -0.5425
E_form, eV/atom: 0.1616
V, Å³ per atom: 15.21

a b c (Å): 9.0707 9.0707 9.0707
angles (deg): 17.79 17.79 17.79
Last column: nearest neighbours and their distance in Å.
Fractional positions:
Au 0.7532 0.7532 0.7532  3 Mn 2.77, 6 Au 2.81, 3 Ir 2.92
Mn 0.5036 0.5036 0.5036  3 Ir 2.62, 3 Au 2.77, 6 Mn 2.81
Ir 0.2472 0.2472 0.2472  3 Mn 2.62, 9 Ir 2.73-2.81
Ir 0.9960 0.9960 0.9960  9 Ir 2.73-2.81, 3 Au 2.92